Record 1
Below is a relaxed ZnTeAsI2 crystal, with properties calculated at the PBE level.

Lattice parameters (Å, degrees): 5.664 5.664 5.636 90.00 90.00 90.00
Positions (direct):
I: 0.000 0.500 0.000
I: 0.500 0.000 0.000
As: 0.000 0.000 0.000
Te: 0.000 0.000 0.500
Zn: 0.500 0.500 0.500

symmetry	P4/mmm, No. 123
polymorph energy (0 for the lowest one)	0.0	kJ/mol of atoms

Record 2
Below is a relaxed Ba3Ho crystal, with properties calculated at the PBE level.

Lattice parameters (Å, degrees): 7.172 7.172 7.172 131.45 131.45 71.10
Positions (direct):
Ho: 0.000 0.000 0.000
Ba: 0.750 0.250 0.500
Ba: 0.250 0.750 0.500
Ba: 0.500 0.500 0.000

symmetry	I4/mmm, No. 139
formation energy from the elements	0.24	eV per atom

Record 3
Below is a relaxed La3Tb6Sm crystal, with properties calculated at the PBE level.

Lattice parameters (Å, degrees): 6.403 11.097 11.097 120.19 90.00 90.00
Positions (direct):
La: 0.465 0.940 0.711
La: 0.965 0.711 0.940
La: 0.073 0.388 0.612
La: 0.573 0.612 0.388
La: 0.965 0.060 0.289
La: 0.465 0.289 0.060
Tb: 0.050 0.715 0.624
Tb: 0.550 0.624 0.715
Tb: 0.372 0.530 0.949
Tb: 0.872 0.949 0.530
Tb: 0.370 0.964 0.036
Tb: 0.647 0.276 0.724
Tb: 0.147 0.724 0.276
Tb: 0.870 0.036 0.964
Tb: 0.372 0.051 0.470
Tb: 0.872 0.470 0.051
Tb: 0.050 0.376 0.285
Tb: 0.550 0.285 0.376
Sm: 0.122 0.192 0.808
Sm: 0.622 0.808 0.192

symmetry	Cmc2_1, No. 36
formation energy from the elements	0.15	eV per atom

no.,calculated total energy (eV/f.u.),calculated density (g/cm3)
1,-10.48,4.79
2,-9.37,4.72
3,-45.82,7.41